Record 1
Entry from the Alexandria database: a geometry-optimized Nd2SmCd5 structure (PBE).

Structure (POSCAR):
```
Nd2SmCd5
1.0
5.207 0.000 0.000
0.000 5.207 0.000
-2.604 -2.604 7.768
Cd Sm Nd
5 1 2
Direct
0.884 0.384 0.768
0.500 0.500 0.000
0.384 0.884 0.768
0.116 0.616 0.232
0.616 0.116 0.232
0.000 0.000 0.000
0.264 0.264 0.528
0.736 0.736 0.472
```

Calculated values
DOS at the Fermi energy: 5.64 states/eV/cell
E_tot: -21.34 eV for the cell shown

---

Record 2
Entry from the Alexandria database: a geometry-optimized TlCd2Co2 structure (PBE).

Structure (POSCAR):
```
TlCd2Co2
1.0
4.008 0.000 0.000
0.000 4.008 0.000
2.004 2.004 5.981
Co Tl Cd
2 1 2
Direct
0.591 0.591 0.818
0.409 0.409 0.182
0.000 0.000 0.000
0.250 0.750 0.500
0.750 0.250 0.500
```

Calculated values
DOS at the Fermi energy: 4.27 states/eV/cell
Polymorph energy (0 for the lowest one): 0.2018 eV/atom
E_tot: -15.75 eV for the cell shown

---

Record 3
Entry from the Alexandria database: a geometry-optimized CeEuTe2 structure (PBE).

Structure (POSCAR):
```
CeEuTe2
1.0
5.534 0.000 0.000
2.767 4.793 0.000
2.767 1.598 4.518
Ce Te Eu
1 2 1
Direct
0.500 0.500 0.500
0.250 0.250 0.250
0.750 0.750 0.750
0.000 0.000 0.000
```

Calculated values
DOS at the Fermi energy: 7.86 states/eV/cell
ΔE_f (raw): -1.31 eV/atom
Polymorph energy (0 for the lowest one): 0.1940 eV/atom
E_tot: -27.74 eV for the cell shown

---

Record 4
Entry from the Alexandria database: a geometry-optimized Th2AlCu structure (PBE).

Structure (POSCAR):
```
Th2AlCu
1.0
3.374 0.000 0.000
0.000 3.374 0.000
0.000 0.000 8.393
Th Cu Al
2 1 1
Direct
0.000 0.000 0.762
0.000 0.000 0.238
0.500 0.500 0.000
0.500 0.500 0.500
```

Calculated values
DOS at the Fermi energy: 3.37 states/eV/cell
E_tot: -23.30 eV for the cell shown

---

Record 5
Entry from the Alexandria database: a geometry-optimized Tb3In3Rh2 structure (PBE).

Structure (POSCAR):
```
Tb3In3Rh2
1.0
-0.008 -0.486 4.657
1.984 -4.701 -0.487
6.741 4.781 -1.844
In Tb Rh
3 3 2
Direct
0.500 0.500 0.000
0.367 0.923 0.734
0.633 0.077 0.266
0.832 0.405 0.664
0.000 0.000 0.000
0.168 0.595 0.336
0.217 0.126 0.434
0.783 0.874 0.566
```

Calculated values
DOS at the Fermi energy: 4.15 states/eV/cell
E_tot: -41.82 eV for the cell shown

---

Record 6
Entry from the Alexandria database: a geometry-optimized BiRhF3 structure (PBE).

Structure (POSCAR):
```
BiRhF3
1.0
-1.217 4.047 -0.786
0.007 -0.818 -4.220
-4.122 -1.197 0.225
F Rh Bi
3 1 1
Direct
0.500 0.000 0.000
0.000 0.000 0.500
0.000 0.500 0.000
0.000 0.000 0.000
0.500 0.500 0.500
```

Calculated values
DOS at the Fermi energy: 3.99 states/eV/cell
ΔE_f (raw): -0.85 eV/atom
Polymorph energy (0 for the lowest one): 0.0778 eV/atom
E_tot: -21.10 eV for the cell shown